SbTeSe | GGA-PBE | relaxed

The total energy is -10.74 eV/f.u. For the formation energy without anion corrections, the calculation gives 0.00 eV/atom. Its polymorph energy (0 for the lowest one) is 133 meV per atom.

The structure belongs to space group R3m (No. 160, hexagonal axes); the cell edges are 4.1772, 4.1772 and 34.8753 Å and the angles 90.00°, 90.00° and 120.00°. The inequivalent atoms are Sb at (0.0000, 0.0000, 0.0000), Sb at (0.0000, 0.0000, 0.1767), Te at (0.0000, 0.0000, 0.4560), Te at (0.0000, 0.0000, 0.7231), Se at (0.0000, 0.0000, 0.6181) and Se at (0.0000, 0.0000, 0.8884).


Sc2BeOs3 | GGA-PBE | relaxed

As for the energy of formation: -367.9 meV per atom. The total energy is -52.29 eV/f.u.

The structure belongs to space group C2/m (No. 12); the cell edges are 8.537, 5.202 and 5.002 Å and the angles 90.00°, 122.20° and 90.00°. The inequivalent atoms are Sc at (0.124, 0.000, 0.376), Be at (0.000, 0.500, 0.000), Os at (0.000, 0.500, 0.500) and Os at (0.250, 0.250, 0.000).


Pr3TeN | GGA-PBE | relaxed

The total energy is -30.07 eV/f.u. For the formation energy without anion corrections, the calculation gives -0.85 eV/atom. Its polymorph energy (0 for the lowest one) is 44 meV per atom.

The structure belongs to space group Cmc2_1 (No. 36); the cell edges are 3.839, 20.579 and 7.665 Å and the angles 90.00°, 90.00° and 90.00°. The inequivalent atoms are Pr at (0.000, 0.075, 0.000), Pr at (0.000, 0.274, 0.366), Pr at (0.000, 0.402, 0.101), Te at (0.000, 0.340, 0.734) and N at (0.000, 0.150, 0.754).


TeRhAu | GGA-PBE | relaxed

The total energy is -13.43 eV/f.u. For the formation energy without anion corrections, the calculation gives 0.11 eV/atom. Its polymorph energy (0 for the lowest one) is 186 meV per atom.

The structure belongs to space group Imm2 (No. 44); the cell edges are 3.637, 4.271 and 8.045 Å and the angles 90.00°, 90.00° and 90.00°. The inequivalent atoms are Te at (0.000, 0.000, 0.000), Rh at (0.000, 0.500, 0.756) and Au at (0.000, 0.500, 0.220).


YMoCl2 | GGA-PBE | relaxed

The total energy is -23.00 eV/f.u. For the formation energy without anion corrections, the calculation gives -0.50 eV/atom. Its polymorph energy (0 for the lowest one) is 54 meV per atom.

The structure belongs to space group C2/m (No. 12); the cell edges are 13.452, 3.489 and 4.943 Å and the angles 90.00°, 93.68° and 90.00°. The inequivalent atoms are Y at (0.000, 0.000, 0.000), Mo at (0.000, 0.500, 0.500) and Cl at (0.145, 0.500, 0.220).


Nd10Sm4Tm | GGA-PBE | relaxed

As for the energy of formation: 698.6 meV per atom. The total energy is -60.55 eV/f.u.

The structure belongs to space group I4/m (No. 87); the cell edges are 12.436, 12.436 and 7.846 Å and the angles 90.00°, 90.00° and 90.00°. The inequivalent atoms are Nd at (0.000, 0.500, 0.250), Nd at (0.099, 0.199, 0.248), Sm at (0.101, 0.701, 0.500) and Tm at (0.000, 0.000, 0.000).


YMn2Br | GGA-PBE | relaxed

The total energy is -26.82 eV/f.u. For the formation energy without anion corrections, the calculation gives -0.09 eV/atom. Its polymorph energy (0 for the lowest one) is 7 meV per atom.

The structure belongs to space group P4mm (No. 99); the cell edges are 3.317, 3.317 and 9.041 Å and the angles 90.00°, 90.00° and 90.00°. The inequivalent atoms are Y at (0.000, 0.000, 0.000), Mn at (0.000, 0.000, 0.651), Mn at (0.500, 0.500, 0.768) and Br at (0.500, 0.500, 0.207).


BaHo7Se12 | GGA-PBE | relaxed

The total energy is -108.93 eV/f.u. For the formation energy without anion corrections, the calculation gives -1.66 eV/atom.

The structure belongs to space group Im-3 (No. 204); the cell edges are 10.558, 10.558 and 10.558 Å and the angles 90.00°, 90.00° and 90.00°. The inequivalent atoms are Ba at (0.000, 0.000, 0.000), Ho at (0.000, 0.000, 0.500), Ho at (0.250, 0.250, 0.250) and Se at (0.000, 0.309, 0.182).


In2Ag6Au3 | GGA-PBE | relaxed

As for the energy of formation: -77.6 meV per atom. The total energy is -33.27 eV/f.u. Its polymorph energy (0 for the lowest one) is 0 meV per atom.

The structure belongs to space group P-1 (No. 2); the cell edges are 4.220, 5.121 and 10.699 Å and the angles 77.76°, 78.77° and 66.37°. The inequivalent atoms are In at (0.181, 0.410, 0.228), Ag at (0.274, 0.864, 0.588), Ag at (0.366, 0.314, 0.955), Ag at (0.451, 0.775, 0.322), Au at (0.000, 0.500, 0.500) and Au at (0.091, 0.954, 0.862).


TmTaO4 | GGA-PBE | relaxed

The total energy is -55.59 eV/f.u. For the formation energy without anion corrections, the calculation gives -3.24 eV/atom.

The structure belongs to space group P2_1/c (No. 14); the cell edges are 5.867, 4.950 and 5.808 Å and the angles 90.00°, 111.31° and 90.00°. The inequivalent atoms are Tm at (0.000, 0.000, 0.000), Ta at (0.500, 0.000, 0.500), O at (0.174, 0.166, 0.377) and O at (0.374, 0.711, 0.679).


MnNi3Pt12 | GGA-PBE | relaxed

As for the energy of formation: -141.1 meV per atom. The total energy is -101.26 eV/f.u.

The structure belongs to space group P4/mmm (No. 123); the cell edges are 3.893, 3.893 and 15.608 Å and the angles 90.00°, 90.00° and 90.00°. The inequivalent atoms are Mn at (0.000, 0.000, 0.000), Ni at (0.000, 0.000, 0.253), Ni at (0.000, 0.000, 0.500), Pt at (0.000, 0.500, 0.127), Pt at (0.000, 0.500, 0.376), Pt at (0.500, 0.500, 0.000), Pt at (0.500, 0.500, 0.251) and Pt at (0.500, 0.500, 0.500).


CaTcAu2 | GGA-PBE | relaxed

As for the energy of formation: 62.1 meV per atom. The total energy is -18.67 eV/f.u. Its polymorph energy (0 for the lowest one) is 43 meV per atom.

The structure belongs to space group Pmmm (No. 47); the cell edges are 2.919, 4.025 and 6.552 Å and the angles 90.00°, 90.00° and 90.00°. The inequivalent atoms are Ca at (0.000, 0.000, 0.000), Tc at (0.000, 0.000, 0.500) and Au at (0.500, 0.500, 0.285).


Listing total magnetic moment for the structures above in their given order: 0.000, 0.000, 0.161, 0.000, 2.455, 0.000, 1.297, 0.000, 0.000, 0.000, 1.373, 0.492 μB/f.u..